## Be2AgBr (GGA-PBE)

Data for Be2AgBr after structural relaxation.

Calculated values
The value obtained for the density of states at the Fermi level is 0.17 states/eV per atom. For the density, the calculation gives 5.28 Mg/m³. Its energy above the lowest structure with this stoichiometry is 1.40 eV/f.u. The uncorrected formation energy comes out at 204 kJ/mol of formula units.

Structure (POSCAR):
```
Be2AgBr
1.0
3.199 0.000 0.000
0.000 3.199 0.000
0.000 0.000 6.321
Be Ag Br
2 1 1
Direct
0.000 0.000 0.178
0.000 0.000 0.822
0.500 0.500 0.000
0.500 0.500 0.500
```